Below is an optimized crystal structure of Ac12Ge5Ir3, with properties calculated at the PBE level.

## Properties
space-group type = Ia-3d (230)
total DFT energy (no corrections) = -5.14 eV per atom

a = 15.7654 Å, b = 15.7654 Å, c = 15.7654 Å
α = 109.47°, β = 109.47°, γ = 109.47°
With the nearest neighbours (Å) after each atom.
Positions (direct):
Ac (0.0550, 0.2261, 0.1325)  2 Ge 2.95-3.10, 1 Ir 3.26
Ac (0.0550, 0.3289, 0.9224)  2 Ge 2.95-3.10, 1 Ir 3.26
Ac (0.0776, 0.6325, 0.4065)  2 Ge 2.95-3.10, 1 Ir 3.26
Ac (0.0776, 0.9450, 0.6711)  2 Ge 2.95-3.10, 1 Ir 3.26
Ac (0.0935, 0.7261, 0.6711)  2 Ge 2.95-3.10, 1 Ir 3.26
Ac (0.0935, 0.8675, 0.4224)  2 Ge 2.95-3.10, 1 Ir 3.26
Ac (0.1325, 0.0550, 0.2261)  2 Ge 2.95-3.10, 1 Ir 3.26
Ac (0.1325, 0.5776, 0.9065)  2 Ge 2.95-3.10, 1 Ir 3.26
Ac (0.1711, 0.2261, 0.5935)  2 Ge 2.95-3.10, 1 Ir 3.26
Ac (0.1711, 0.4450, 0.5776)  2 Ge 2.95-3.10, 1 Ir 3.26
Ac (0.2261, 0.1325, 0.0550)  2 Ge 2.95-3.10, 1 Ir 3.26
Ac (0.2261, 0.5935, 0.1711)  2 Ge 2.95-3.10, 1 Ir 3.26
Ac (0.2739, 0.3289, 0.9065)  2 Ge 2.95-3.10, 1 Ir 3.26
Ac (0.2739, 0.4450, 0.3675)  2 Ge 2.95-3.10, 1 Ir 3.26
Ac (0.3289, 0.9065, 0.2739)  2 Ge 2.95-3.10, 1 Ir 3.26
Ac (0.3289, 0.9224, 0.0550)  2 Ge 2.95-3.10, 1 Ir 3.26
Ac (0.3675, 0.2739, 0.4450)  2 Ge 2.95-3.10, 1 Ir 3.26
Ac (0.3675, 0.5935, 0.9224)  2 Ge 2.95-3.10, 1 Ir 3.26
Ac (0.4065, 0.0776, 0.6325)  2 Ge 2.95-3.10, 1 Ir 3.26
Ac (0.4065, 0.8289, 0.7739)  2 Ge 2.95-3.10, 1 Ir 3.26
Ac (0.4224, 0.0935, 0.8675)  2 Ge 2.95-3.10, 1 Ir 3.26
Ac (0.4224, 0.8289, 0.5550)  2 Ge 2.95-3.10, 1 Ir 3.26
Ac (0.4450, 0.3675, 0.2739)  2 Ge 2.95-3.10, 1 Ir 3.26
Ac (0.4450, 0.5776, 0.1711)  2 Ge 2.95-3.10, 1 Ir 3.26
Ac (0.5550, 0.4224, 0.8289)  2 Ge 2.95-3.10, 1 Ir 3.26
Ac (0.5550, 0.6325, 0.7261)  2 Ge 2.95-3.10, 1 Ir 3.26
Ac (0.5776, 0.1711, 0.4450)  2 Ge 2.95-3.10, 1 Ir 3.26
Ac (0.5776, 0.9065, 0.1325)  2 Ge 2.95-3.10, 1 Ir 3.26
Ac (0.5935, 0.1711, 0.2261)  2 Ge 2.95-3.10, 1 Ir 3.26
Ac (0.5935, 0.9224, 0.3675)  2 Ge 2.95-3.10, 1 Ir 3.26
Ac (0.6325, 0.4065, 0.0776)  2 Ge 2.95-3.10, 1 Ir 3.26
Ac (0.6325, 0.7261, 0.5550)  2 Ge 2.95-3.10, 1 Ir 3.26
Ac (0.6711, 0.0776, 0.9450)  2 Ge 2.95-3.10, 1 Ir 3.26
Ac (0.6711, 0.0935, 0.7261)  2 Ge 2.95-3.10, 1 Ir 3.26
Ac (0.7261, 0.5550, 0.6325)  2 Ge 2.95-3.10, 1 Ir 3.26
Ac (0.7261, 0.6711, 0.0935)  2 Ge 2.95-3.10, 1 Ir 3.26
Ac (0.7739, 0.4065, 0.8289)  2 Ge 2.95-3.10, 1 Ir 3.26
Ac (0.7739, 0.8675, 0.9450)  2 Ge 2.95-3.10, 1 Ir 3.26
Ac (0.8289, 0.5550, 0.4224)  2 Ge 2.95-3.10, 1 Ir 3.26
Ac (0.8289, 0.7739, 0.4065)  2 Ge 2.95-3.10, 1 Ir 3.26
Ac (0.8675, 0.4224, 0.0935)  2 Ge 2.95-3.10, 1 Ir 3.26
Ac (0.8675, 0.9450, 0.7739)  2 Ge 2.95-3.10, 1 Ir 3.26
Ac (0.9065, 0.1325, 0.5776)  2 Ge 2.95-3.10, 1 Ir 3.26
Ac (0.9065, 0.2739, 0.3289)  2 Ge 2.95-3.10, 1 Ir 3.26
Ac (0.9224, 0.0550, 0.3289)  2 Ge 2.95-3.10, 1 Ir 3.26
Ac (0.9224, 0.3675, 0.5935)  2 Ge 2.95-3.10, 1 Ir 3.26
Ac (0.9450, 0.6711, 0.0776)  2 Ge 2.95-3.10, 1 Ir 3.26
Ac (0.9450, 0.7739, 0.8675)  2 Ge 2.95-3.10, 1 Ir 3.26
Ge (0.0000, 0.0000, 0.0000)  6 Ac 3.10
Ge (0.0000, 0.0000, 0.5000)  6 Ac 3.10
Ge (0.0000, 0.5000, 0.0000)  6 Ac 3.10
Ge (0.0000, 0.5000, 0.5000)  6 Ac 3.10
Ge (0.1250, 0.7500, 0.8750)  4 Ac 2.95
Ge (0.1250, 0.8750, 0.2500)  4 Ac 2.95
Ge (0.2500, 0.1250, 0.8750)  4 Ac 2.95
Ge (0.2500, 0.6250, 0.3750)  4 Ac 2.95
Ge (0.3750, 0.2500, 0.6250)  4 Ac 2.95
Ge (0.3750, 0.6250, 0.7500)  4 Ac 2.95
Ge (0.5000, 0.0000, 0.0000)  6 Ac 3.10
Ge (0.5000, 0.0000, 0.5000)  6 Ac 3.10
Ge (0.5000, 0.5000, 0.0000)  6 Ac 3.10
Ge (0.5000, 0.5000, 0.5000)  6 Ac 3.10
Ge (0.6250, 0.3750, 0.2500)  4 Ac 2.95
Ge (0.6250, 0.7500, 0.3750)  4 Ac 2.95
Ge (0.7500, 0.3750, 0.6250)  4 Ac 2.95
Ge (0.7500, 0.8750, 0.1250)  4 Ac 2.95
Ge (0.8750, 0.1250, 0.7500)  4 Ac 2.95
Ge (0.8750, 0.2500, 0.1250)  4 Ac 2.95
Ir (0.1250, 0.2500, 0.3750)  8 Ac 3.26-3.45
Ir (0.1250, 0.3750, 0.7500)  8 Ac 3.26-3.45
Ir (0.2500, 0.3750, 0.1250)  8 Ac 3.26-3.45
Ir (0.2500, 0.8750, 0.6250)  8 Ac 3.26-3.45
Ir (0.3750, 0.1250, 0.2500)  8 Ac 3.26-3.45
Ir (0.3750, 0.7500, 0.1250)  8 Ac 3.26-3.45
Ir (0.6250, 0.2500, 0.8750)  8 Ac 3.26-3.45
Ir (0.6250, 0.8750, 0.7500)  8 Ac 3.26-3.45
Ir (0.7500, 0.1250, 0.3750)  8 Ac 3.26-3.45
Ir (0.7500, 0.6250, 0.8750)  8 Ac 3.26-3.45
Ir (0.8750, 0.6250, 0.2500)  8 Ac 3.26-3.45
Ir (0.8750, 0.7500, 0.6250)  8 Ac 3.26-3.45

Below is an optimized crystal structure of Ac4Ge6Ir7, with properties calculated at the PBE level.

## Properties
space-group type = Im-3m (229)
total DFT energy (no corrections) = -6.87 eV per atom

a = 7.6590 Å, b = 7.6590 Å, c = 7.6590 Å
α = 109.47°, β = 109.47°, γ = 109.47°
With the nearest neighbours (Å) after each atom.
Positions (direct):
Ac (0.0000, 0.0000, 0.5000)  6 Ir 3.13, 6 Ge 3.22
Ac (0.0000, 0.5000, 0.0000)  6 Ir 3.13, 6 Ge 3.22
Ac (0.5000, 0.0000, 0.0000)  6 Ir 3.13, 6 Ge 3.22
Ac (0.5000, 0.5000, 0.5000)  6 Ir 3.13, 6 Ge 3.22
Ge (0.0000, 0.3361, 0.3361)  4 Ir 2.64, 1 Ge 2.90
Ge (0.0000, 0.6639, 0.6639)  4 Ir 2.64, 1 Ge 2.90
Ge (0.3361, 0.0000, 0.3361)  4 Ir 2.64, 1 Ge 2.90
Ge (0.3361, 0.3361, 0.0000)  4 Ir 2.64, 1 Ge 2.90
Ge (0.6639, 0.0000, 0.6639)  4 Ir 2.64, 1 Ge 2.90
Ge (0.6639, 0.6639, 0.0000)  4 Ir 2.64, 1 Ge 2.90
Ir (0.0000, 0.0000, 0.0000)  6 Ge 2.97
Ir (0.2500, 0.5000, 0.7500)  4 Ge 2.64
Ir (0.2500, 0.7500, 0.5000)  4 Ge 2.64
Ir (0.5000, 0.2500, 0.7500)  4 Ge 2.64
Ir (0.5000, 0.7500, 0.2500)  4 Ge 2.64
Ir (0.7500, 0.2500, 0.5000)  4 Ge 2.64
Ir (0.7500, 0.5000, 0.2500)  4 Ge 2.64

Below is an optimized crystal structure of Ac2Ge5Ir3, with properties calculated at the PBE level.

## Properties
space-group type = Ibam (72)
total DFT energy (no corrections) = -6.50 eV per atom

a = 8.6844 Å, b = 8.6844 Å, c = 8.6844 Å
α = 106.01°, β = 88.93°, γ = 137.99°
With the nearest neighbours (Å) after each atom.
Positions (direct):
Ac (0.1306, 0.2335, 0.3641)  10 Ge 3.15-3.43, 3 Ir 3.29-3.36
Ac (0.3694, 0.7335, 0.1028)  10 Ge 3.15-3.43, 3 Ir 3.29-3.36
Ac (0.6306, 0.2665, 0.8972)  10 Ge 3.15-3.43, 3 Ir 3.29-3.36
Ac (0.8694, 0.7665, 0.6359)  10 Ge 3.15-3.43, 3 Ir 3.29-3.36
Ge (0.0178, 0.7500, 0.2678)  2 Ir 2.53, 2 Ge 2.73
Ge (0.1042, 0.6519, 0.7561)  3 Ir 2.50-2.57, 2 Ge 2.73
Ge (0.2500, 0.2500, 0.0000)  4 Ir 2.59
Ge (0.3958, 0.1519, 0.5477)  3 Ir 2.50-2.57, 2 Ge 2.73
Ge (0.4822, 0.7500, 0.7322)  2 Ir 2.53, 2 Ge 2.73
Ge (0.5178, 0.2500, 0.2678)  2 Ir 2.53, 2 Ge 2.73
Ge (0.6042, 0.8481, 0.4523)  3 Ir 2.50-2.57, 2 Ge 2.73
Ge (0.7500, 0.7500, 0.0000)  4 Ir 2.59
Ge (0.8958, 0.3481, 0.2439)  3 Ir 2.50-2.57, 2 Ge 2.73
Ge (0.9822, 0.2500, 0.7322)  2 Ir 2.53, 2 Ge 2.73
Ir (0.1381, 0.8880, 0.0261)  5 Ge 2.50-2.59
Ir (0.2500, 0.7500, 0.5000)  6 Ge 2.57-2.88
Ir (0.3619, 0.3880, 0.7500)  5 Ge 2.50-2.59
Ir (0.6381, 0.6120, 0.2500)  5 Ge 2.50-2.59
Ir (0.7500, 0.2500, 0.5000)  6 Ge 2.57-2.88
Ir (0.8619, 0.1120, 0.9739)  5 Ge 2.50-2.59

Below is an optimized crystal structure of Ac3Ge9Ir2, with properties calculated at the PBE level.

## Properties
space-group type = Immm (71)
total DFT energy (no corrections) = -5.52 eV per atom

a = 8.7113 Å, b = 8.7113 Å, c = 8.7113 Å
α = 151.02°, β = 100.05°, γ = 87.17°
With the nearest neighbours (Å) after each atom.
Positions (direct):
Ac (0.0000, 0.0000, 0.0000)  12 Ge 3.33-3.49
Ac (0.3183, 0.3183, 0.0000)  10 Ge 3.16-3.37, 2 Ir 3.40
Ac (0.6817, 0.6817, 0.0000)  10 Ge 3.16-3.37, 2 Ir 3.40
Ge (0.0255, 0.6603, 0.3652)  1 Ir 2.57, 2 Ge 2.77
Ge (0.1600, 0.8793, 0.2806)  2 Ir 2.66, 4 Ge 2.77-2.92
Ge (0.2950, 0.6603, 0.6348)  1 Ir 2.57, 2 Ge 2.77
Ge (0.4013, 0.1207, 0.2806)  2 Ir 2.66, 4 Ge 2.77-2.92
Ge (0.5000, 0.0000, 0.5000)  4 Ge 2.89, 4 Ac 3.16
Ge (0.5987, 0.8793, 0.7194)  2 Ir 2.66, 4 Ge 2.77-2.92
Ge (0.7050, 0.3397, 0.3652)  1 Ir 2.57, 2 Ge 2.77
Ge (0.8400, 0.1207, 0.7194)  2 Ir 2.66, 4 Ge 2.77-2.92
Ge (0.9745, 0.3397, 0.6348)  1 Ir 2.57, 2 Ge 2.77
Ir (0.2759, 0.5000, 0.7759)  6 Ge 2.57-2.66
Ir (0.7241, 0.5000, 0.2241)  6 Ge 2.57-2.66

Below is an optimized crystal structure of AcGeIr2, with properties calculated at the PBE level.

## Properties
energy above the lowest structure with this stoichiometry = 0.000 eV per atom
space-group type = R-3m (166)
total DFT energy (no corrections) = -7.12 eV per atom

a = 5.9796 Å, b = 5.9796 Å, c = 5.9796 Å
α = 42.18°, β = 42.18°, γ = 42.18°
With the nearest neighbours (Å) after each atom.
Positions (direct):
Ac (0.0000, 0.0000, 0.0000)  8 Ir 3.26-3.33
Ge (0.5000, 0.5000, 0.5000)  6 Ir 2.56
Ir (0.2043, 0.2043, 0.2043)  3 Ge 2.56, 3 Ir 2.77
Ir (0.7957, 0.7957, 0.7957)  3 Ge 2.56, 3 Ir 2.77

Below is an optimized crystal structure of AcGe4Ir2, with properties calculated at the PBE level.

## Properties
space-group type = Pnma (62)
total DFT energy (no corrections) = -6.29 eV per atom

a = 17.8953 Å, b = 4.3922 Å, c = 6.8023 Å
α = 90.00°, β = 90.00°, γ = 90.00°
With the nearest neighbours (Å) after each atom.
Positions (direct):
Ac (0.1410, 0.2500, 0.0090)  9 Ge 3.09-3.42, 2 Ir 3.45
Ac (0.3590, 0.7500, 0.5090)  9 Ge 3.09-3.42, 2 Ir 3.45
Ac (0.6410, 0.2500, 0.4910)  9 Ge 3.09-3.42, 2 Ir 3.45
Ac (0.8590, 0.7500, 0.9910)  9 Ge 3.09-3.42, 2 Ir 3.45
Ge (0.0296, 0.7500, 0.1456)  3 Ir 2.57-2.74, 1 Ge 2.80
Ge (0.0665, 0.2500, 0.5293)  4 Ir 2.56-2.71, 1 Ge 2.80
Ge (0.1813, 0.7500, 0.6955)  4 Ir 2.63-2.83, 1 Ge 2.74
Ge (0.1953, 0.7500, 0.2941)  3 Ir 2.60-2.66, 1 Ge 2.74
Ge (0.3047, 0.2500, 0.7941)  3 Ir 2.60-2.66, 1 Ge 2.74
Ge (0.3187, 0.2500, 0.1955)  4 Ir 2.63-2.83, 1 Ge 2.74
Ge (0.4335, 0.7500, 0.0293)  4 Ir 2.56-2.71, 1 Ge 2.80
Ge (0.4704, 0.2500, 0.6456)  3 Ir 2.57-2.74, 1 Ge 2.80
Ge (0.5296, 0.7500, 0.3544)  3 Ir 2.57-2.74, 1 Ge 2.80
Ge (0.5665, 0.2500, 0.9707)  4 Ir 2.56-2.71, 1 Ge 2.80
Ge (0.6813, 0.7500, 0.8045)  4 Ir 2.63-2.83, 1 Ge 2.74
Ge (0.6953, 0.7500, 0.2059)  3 Ir 2.60-2.66, 1 Ge 2.74
Ge (0.8047, 0.2500, 0.7059)  3 Ir 2.60-2.66, 1 Ge 2.74
Ge (0.8187, 0.2500, 0.3045)  4 Ir 2.63-2.83, 1 Ge 2.74
Ge (0.9335, 0.7500, 0.4707)  4 Ir 2.56-2.71, 1 Ge 2.80
Ge (0.9704, 0.2500, 0.8544)  3 Ir 2.57-2.74, 1 Ge 2.80
Ir (0.0317, 0.7500, 0.7434)  7 Ge 2.56-2.74
Ir (0.2091, 0.2500, 0.4948)  7 Ge 2.56-2.83
Ir (0.2909, 0.7500, 0.9948)  7 Ge 2.56-2.83
Ir (0.4683, 0.2500, 0.2434)  7 Ge 2.56-2.74
Ir (0.5317, 0.7500, 0.7566)  7 Ge 2.56-2.74
Ir (0.7091, 0.2500, 0.0052)  7 Ge 2.56-2.83
Ir (0.7909, 0.7500, 0.5052)  7 Ge 2.56-2.83
Ir (0.9683, 0.2500, 0.2566)  7 Ge 2.56-2.74